# SrCaIr2I | Alexandria via LeMat-Bulk | PBE | optimized geometry
data_SrCaIr2I
_cell_length_a 5.097
_cell_length_b 5.097
_cell_length_c 5.634
_cell_angle_alpha 90.00
_cell_angle_beta 90.00
_cell_angle_gamma 90.00
_space_group_name_H-M_alt 'P 1'
_space_group_IT_number 1
_space_group_name_Hall 'P 1'
loop_
_atom_site_label
_atom_site_type_symbol
_atom_site_fract_x
_atom_site_fract_y
_atom_site_fract_z
Sr1 Sr 0.000 0.000 0.000
Ca1 Ca 0.500 0.500 0.000
Ir1 Ir 0.000 0.500 0.500
Ir2 Ir 0.500 0.000 0.500
I1 I 0.000 0.000 0.500
# E_form (uncorrected)	823.6	meV per atom

# Y2HgPt | Alexandria via LeMat-Bulk | PBE | optimized geometry
data_Y2HgPt
_cell_length_a 4.581
_cell_length_b 5.869
_cell_length_c 5.869
_cell_angle_alpha 38.15
_cell_angle_beta 90.00
_cell_angle_gamma 90.00
_space_group_name_H-M_alt 'P 1'
_space_group_IT_number 1
_space_group_name_Hall 'P 1'
loop_
_atom_site_label
_atom_site_type_symbol
_atom_site_fract_x
_atom_site_fract_y
_atom_site_fract_z
Y1 Y 0.000 0.000 0.000
Y2 Y 0.500 0.284 0.284
Hg1 Hg 0.500 0.560 0.560
Pt1 Pt 0.000 0.735 0.735
# ΔE_f	-0.833	eV per atom

# La2Pm2Y4Tm | Alexandria via LeMat-Bulk | PBE | optimized geometry
data_La2Pm2Y4Tm
_cell_length_a 9.640
_cell_length_b 9.640
_cell_length_c 9.701
_cell_angle_alpha 115.20
_cell_angle_beta 115.20
_cell_angle_gamma 21.84
_space_group_name_H-M_alt 'P 1'
_space_group_IT_number 1
_space_group_name_Hall 'P 1'
loop_
_atom_site_label
_atom_site_type_symbol
_atom_site_fract_x
_atom_site_fract_y
_atom_site_fract_z
La1 La 0.164 0.164 0.499
La2 La 0.836 0.836 0.501
Pm1 Pm 0.352 0.352 0.836
Pm2 Pm 0.648 0.648 0.164
Y1 Y 0.020 0.020 0.833
Y2 Y 0.315 0.315 0.164
Y3 Y 0.685 0.685 0.836
Y4 Y 0.980 0.980 0.167
Tm1 Tm 0.500 0.500 0.500
# ΔE_f	0.004	eV per atom

# HgSNO2 | Alexandria via LeMat-Bulk | PBE | optimized geometry
data_HgSNO2
_cell_length_a 3.499
_cell_length_b 3.499
_cell_length_c 4.651
_cell_angle_alpha 90.00
_cell_angle_beta 90.00
_cell_angle_gamma 90.00
_space_group_name_H-M_alt 'P 1'
_space_group_IT_number 1
_space_group_name_Hall 'P 1'
loop_
_atom_site_label
_atom_site_type_symbol
_atom_site_fract_x
_atom_site_fract_y
_atom_site_fract_z
Hg1 Hg 0.000 0.000 0.000
S1 S 0.500 0.500 0.500
N1 N 0.500 0.500 0.000
O1 O 0.000 0.500 0.500
O2 O 0.500 0.000 0.500
# E_form (uncorrected)	698.4	meV per atom

# PmSc2Cd | Alexandria via LeMat-Bulk | PBE | optimized geometry
data_PmSc2Cd
_cell_length_a 3.438
_cell_length_b 3.438
_cell_length_c 8.682
_cell_angle_alpha 90.00
_cell_angle_beta 90.00
_cell_angle_gamma 90.00
_space_group_name_H-M_alt 'P 1'
_space_group_IT_number 1
_space_group_name_Hall 'P 1'
loop_
_atom_site_label
_atom_site_type_symbol
_atom_site_fract_x
_atom_site_fract_y
_atom_site_fract_z
Pm1 Pm 0.000 0.000 0.000
Sc1 Sc 0.500 0.500 0.282
Sc2 Sc 0.500 0.500 0.718
Cd1 Cd 0.000 0.000 0.500
# energy relative to the lowest polymorph listed for this composition	0.000	eV/atom
# ΔE_f	-0.114	eV per atom

# Re3C | Alexandria via LeMat-Bulk | PBE | optimized geometry
data_Re3C
_cell_length_a 4.316
_cell_length_b 4.316
_cell_length_c 2.893
_cell_angle_alpha 90.00
_cell_angle_beta 90.00
_cell_angle_gamma 90.00
_space_group_name_H-M_alt 'P 1'
_space_group_IT_number 1
_space_group_name_Hall 'P 1'
loop_
_atom_site_label
_atom_site_type_symbol
_atom_site_fract_x
_atom_site_fract_y
_atom_site_fract_z
Re1 Re 0.000 0.000 0.000
Re2 Re 0.000 0.500 0.500
Re3 Re 0.500 0.000 0.500
C1 C 0.500 0.500 0.000
# energy relative to the lowest polymorph listed for this composition	1.368	eV/atom
# ΔE_f	1.350	eV per atom

Please write out number 6 again, unchanged.
# Re3C | Alexandria via LeMat-Bulk | PBE | optimized geometry
data_Re3C
_cell_length_a 4.316
_cell_length_b 4.316
_cell_length_c 2.893
_cell_angle_alpha 90.00
_cell_angle_beta 90.00
_cell_angle_gamma 90.00
_space_group_name_H-M_alt 'P 1'
_space_group_IT_number 1
_space_group_name_Hall 'P 1'
loop_
_atom_site_label
_atom_site_type_symbol
_atom_site_fract_x
_atom_site_fract_y
_atom_site_fract_z
Re1 Re 0.000 0.000 0.000
Re2 Re 0.000 0.500 0.500
Re3 Re 0.500 0.000 0.500
C1 C 0.500 0.500 0.000
# energy relative to the lowest polymorph listed for this composition	1.368	eV/atom
# ΔE_f	1.350	eV per atom

Repeat the fifth record exactly.
# PmSc2Cd | Alexandria via LeMat-Bulk | PBE | optimized geometry
data_PmSc2Cd
_cell_length_a 3.438
_cell_length_b 3.438
_cell_length_c 8.682
_cell_angle_alpha 90.00
_cell_angle_beta 90.00
_cell_angle_gamma 90.00
_space_group_name_H-M_alt 'P 1'
_space_group_IT_number 1
_space_group_name_Hall 'P 1'
loop_
_atom_site_label
_atom_site_type_symbol
_atom_site_fract_x
_atom_site_fract_y
_atom_site_fract_z
Pm1 Pm 0.000 0.000 0.000
Sc1 Sc 0.500 0.500 0.282
Sc2 Sc 0.500 0.500 0.718
Cd1 Cd 0.000 0.000 0.500
# energy relative to the lowest polymorph listed for this composition	0.000	eV/atom
# ΔE_f	-0.114	eV per atom